Computed, not measured: a geometry-optimized Ag2HgAsW structure at the PBE level of DFT.

Summary:
Electronic total energy = -3.789 eV/atom
M_tot = 1.106 μB per formula unit
DOS(E_F) = 0.67 states/eV/atom
DFT formation energy = 90.0 kJ/mol of atoms

abc: 4.844 4.844 4.807
angles: 90.00 90.00 90.00
Space group P4/mmm (No. 123)
Asymmetric unit:
Ag 0.000 0.500 0.000 (multiplicity 2)
Hg 0.000 0.000 0.500 (multiplicity 1)
As 0.500 0.500 0.000 (multiplicity 1)
W 0.500 0.500 0.500 (multiplicity 1)